Na3NbF: single point on PBEsol structure, meta-GGA SCAN.

Summary:
E_form (uncorrected) (eV/atom): -0.293
Total magnetization (μB/f.u.): 5.13

Structure (POSCAR):
```
Na3NbF
1.0
4.802 0.000 0.000
0.000 4.802 0.000
0.000 0.000 4.802
Na Nb F
3 1 1
direct
0.000 0.500 0.000 Na
0.500 0.000 0.000 Na
0.000 0.000 0.500 Na
0.500 0.500 0.500 Nb
0.000 0.000 0.000 F
```

---

Ba2ErZn2CuO7: single point on PBEsol structure, meta-GGA SCAN.

Summary:
E_form (uncorrected) (eV/atom): -2.269
Total magnetization (μB/f.u.): 0.00

Structure (POSCAR):
```
Ba2ErZn2CuO7
1.0
-3.163 1.072 -1.922
0.372 -3.121 -2.352
-6.417 -6.141 7.133
Zn O Ba Cu Er
2 7 2 1 1
direct
0.000 0.000 0.657 Zn
0.000 0.000 0.343 Zn
0.500 0.000 0.380 O
0.500 0.000 0.620 O
0.000 0.500 0.379 O
0.000 0.500 0.621 O
0.000 0.000 0.163 O
0.000 0.500 0.000 O
0.000 0.000 0.837 O
0.500 0.500 0.181 Ba
0.500 0.500 0.819 Ba
0.000 0.000 0.000 Cu
0.500 0.500 0.500 Er
```

---

ScNiAs: single point on PBEsol structure, meta-GGA SCAN.

Summary:
ΔH_f (0 K) (eV/atom): -1.0411
Total magnetization (μB/f.u.): 0.00

Structure (POSCAR):
```
ScNiAs
1.0
3.547 0.000 0.000
0.000 3.914 0.000
0.000 -1.957 3.389
Ni Sc As
1 1 1
direct
0.834 0.333 0.667 Ni
0.333 0.667 0.333 Sc
0.833 0.000 0.000 As
```

---

CaPb2Br: single point on PBEsol structure, meta-GGA SCAN.

Summary:
E_form (uncorrected) (eV/atom): -0.190
Distance to the lowest polymorph of the same formula (meV per atom): 279
Total magnetization (μB/f.u.): 0.00

Structure (POSCAR):
```
CaPb2Br
1.0
-0.067 0.858 -5.422
-2.119 -3.795 -3.354
-4.757 0.955 -2.569
Pb Br Ca
2 1 1
direct
0.750 0.750 0.750 Pb
0.250 0.250 0.250 Pb
0.000 0.000 0.000 Br
0.500 0.500 0.500 Ca
```

---

Te2AsPb: single point on PBEsol structure, meta-GGA SCAN.

Summary:
E_form (uncorrected) (eV/atom): -0.003
Distance to the lowest polymorph of the same formula (meV per atom): 0
Total magnetization (μB/f.u.): 0.00

Structure (POSCAR):
```
Te2AsPb
1.0
4.430 0.000 0.000
2.215 3.836 0.000
2.215 1.279 6.920
Te As Pb
2 1 1
direct
0.995 0.995 0.014 Te
0.767 0.767 0.698 Te
0.489 0.489 0.532 As
0.248 0.248 0.256 Pb
```

---

Ga3TePd: single point on PBEsol structure, meta-GGA SCAN.

Summary:
E_form (uncorrected) (eV/atom): 1.015
Total magnetization (μB/f.u.): 0.00

Structure (POSCAR):
```
Ga3TePd
1.0
5.198 0.000 0.000
0.000 5.198 0.000
0.000 0.000 5.198
Ga Te Pd
3 1 1
direct
0.500 0.000 0.000 Ga
0.000 0.000 0.500 Ga
0.000 0.500 0.000 Ga
0.000 0.000 0.000 Te
0.500 0.500 0.500 Pd
```

---

Ca3LaCl: single point on PBEsol structure, meta-GGA SCAN.

Summary:
E_form (uncorrected) (eV/atom): 0.578
Total magnetization (μB/f.u.): 5.99

Structure (POSCAR):
```
Ca3LaCl
1.0
-2.809 -5.157 2.371
5.450 -3.189 -0.481
1.586 1.827 5.852
Ca La Cl
3 1 1
direct
0.000 0.000 0.500 Ca
0.000 0.500 0.000 Ca
0.500 0.000 0.000 Ca
0.000 0.000 0.000 La
0.500 0.500 0.500 Cl
```

---

RbMn2Ir2: single point on PBEsol structure, meta-GGA SCAN.

Summary:
ΔH_f (0 K) (eV/atom): 0.3104
Total magnetization (μB/f.u.): 8.56

Structure (POSCAR):
```
RbMn2Ir2
1.0
-2.488 2.862 1.338
-2.971 -1.540 -2.230
0.955 -4.570 5.509
Ir Mn Rb
2 2 1
direct
0.750 0.250 0.500 Ir
0.250 0.750 0.500 Ir
0.646 0.646 0.291 Mn
0.354 0.354 0.709 Mn
0.000 0.000 0.000 Rb
```